No. 1
Below is an optimized crystal structure of Ce2YSi2Au2, with properties calculated at the PBE level.

Computed properties:
SG: R-3m (166)

a b c (Å): 4.3224 4.3224 9.5581
angles (deg): 76.93 76.93 60.00
With the nearest neighbours (Å) after each atom.
Atoms (fractional coordinates):
1 Ce 0.1412 0.1412 0.5765  3 Ce 2.87, 3 Si 3.10
2 Ce 0.8588 0.8588 0.4235  3 Ce 2.87, 3 Si 3.10
3 Y 0.0000 0.0000 0.0000  6 Au 3.11, 6 Si 3.24
4 Si 0.7415 0.7415 0.7756  3 Au 2.50
5 Si 0.2585 0.2585 0.2244  3 Au 2.50
6 Au 0.5994 0.5994 0.2018  3 Si 2.50
7 Au 0.4006 0.4006 0.7982  3 Si 2.50



No. 2
Below is an optimized crystal structure of Ce2ZnSi3Au4, with properties calculated at the PBE level.

Computed properties:
SG: P-4m2 (115)

a b c (Å): 4.3252 4.3252 10.4622
angles (deg): 90.00 90.00 90.00
With the nearest neighbours (Å) after each atom.
Atoms (fractional coordinates):
1 Ce 0.5000 0.0000 0.2461  6 Si 3.27-3.43, 8 Au 3.31-3.36, 2 Zn 3.43
2 Ce 0.0000 0.5000 0.7539  6 Si 3.27-3.43, 8 Au 3.31-3.36, 2 Zn 3.43
3 Zn 0.5000 0.5000 0.5000  4 Au 2.57
4 Si 0.0000 0.0000 0.5000  4 Au 2.57
5 Si 0.5000 0.0000 0.8649  5 Au 2.43-2.58
6 Si 0.0000 0.5000 0.1351  5 Au 2.43-2.58
7 Au 0.5000 0.5000 0.0000  4 Si 2.58
8 Au 0.0000 0.0000 0.0000  4 Si 2.58
9 Au 0.5000 0.0000 0.6331  3 Si 2.43-2.57, 2 Zn 2.57
10 Au 0.0000 0.5000 0.3669  3 Si 2.43-2.57, 2 Zn 2.57



| no. | E_form (uncorrected) (meV/atom) |
| --- | --- |
| 1 | -641 |
| 2 | -559 |